Record 1
# Np3UTl3Se8 (PBE, optimized geometry)
data_Np3UTl3Se8
_space_group_name_H-M_alt 'P 1'
_space_group_IT_number 1
_cell_length_a 8.3722
_cell_length_b 8.3712
_cell_length_c 9.1847
_cell_angle_alpha 117.12
_cell_angle_beta 90.00
_cell_angle_gamma 120.00
loop_
_space_group_symop_operation_xyz
'x,y,z'
loop_
_atom_site_label
_atom_site_fract_x
_atom_site_fract_y
_atom_site_fract_z
_atom_site_occupancy
Np1 0.5000 0.0000 0.5000 1
Np2 0.5000 0.5000 0.5000 1
Np3 0.0000 0.5000 0.5000 1
U1 0.0000 0.0000 0.5000 1
Tl1 0.0000 0.0000 0.0000 1
Tl2 0.0000 0.5000 0.0000 1
Tl3 0.5000 0.5000 0.0000 1
Se1 0.2656 0.5311 0.2968 1
Se2 0.7344 0.4689 0.7032 1
Se3 0.7681 0.5362 0.2991 1
Se4 0.2319 0.4638 0.7009 1
Se5 0.7681 0.0309 0.2991 1
Se6 0.2319 0.9691 0.7009 1
Se7 0.2628 0.0309 0.2991 1
Se8 0.7372 0.9691 0.7009 1
# - Symmetry: R-3m, No. 166
# - Formation energy without anion corrections: -0.964 eV/atom

Record 2
# MgCr (PBE, optimized geometry)
data_MgCr
_space_group_name_H-M_alt 'P 1'
_space_group_IT_number 1
_cell_length_a 5.6498
_cell_length_b 5.6498
_cell_length_c 7.2212
_cell_angle_alpha 74.50
_cell_angle_beta 74.50
_cell_angle_gamma 31.24
loop_
_space_group_symop_operation_xyz
'x,y,z'
loop_
_atom_site_label
_atom_site_fract_x
_atom_site_fract_y
_atom_site_fract_z
_atom_site_occupancy
Mg1 0.3264 0.3264 0.3351 1
Mg2 0.9589 0.9589 0.6072 1
Mg3 0.2721 0.2721 0.9462 1
Cr1 0.9953 0.9953 0.0009 1
Cr2 0.6740 0.6740 0.6692 1
Cr3 0.6065 0.6065 0.2747 1
# - Symmetry: Cm, No. 8
# - Formation energy from the elements: 0.627 eV per atom
# - Energy relative to the lowest polymorph listed for this composition: 0.382 eV/atom

The calculation returns the following DOS(E_F) values, one per record and in order: 33.7; 1.6 states/eV/f.u..